No. 1
Material: YTc2Ag
Method: DFT, PBE
State: relaxed

Values from the calculation:
Its formation energy is 214 meV/atom. For the magnetization, the calculation gives 0.00 μB/f.u. The density of states at the Fermi level comes out at 4.21 states/eV/f.u.

a b c (Å): 4.071 3.050 6.469
angles (deg): 69.40 90.00 90.00
Fractional coordinates of all 4 atoms:
Ag1 0.500 0.757 0.763
Tc1 0.000 0.037 0.044
Tc2 0.500 0.244 0.203
Y1 0.000 0.462 0.489

No. 2
Material: YTc2Ag
Method: DFT, PBE
State: relaxed

Values from the calculation:
Its formation energy is 296 meV/atom. For the magnetization, the calculation gives 0.00 μB/f.u. The density of states at the Fermi level comes out at 2.37 states/eV/f.u.

a b c (Å): 5.261 5.261 4.741
angles (deg): 69.96 69.96 42.74
Fractional coordinates of all 4 atoms:
Ag1 0.250 0.250 0.250
Tc1 0.986 0.986 0.117
Tc2 0.514 0.514 0.383
Y1 0.750 0.750 0.750

No. 3
Material: YTc2Ag
Method: DFT, PBE
State: relaxed

Values from the calculation:
Its formation energy is 231 meV/atom. For the magnetization, the calculation gives 0.00 μB/f.u. The density of states at the Fermi level comes out at 2.78 states/eV/f.u.

a b c (Å): 4.954 4.954 4.954
angles (deg): 131.05 121.75 79.46
Fractional coordinates of all 4 atoms:
Ag1 0.761 0.261 0.500
Tc1 0.038 0.038 0.000
Tc2 0.216 0.716 0.500
Y1 0.486 0.486 0.000

> magnetization of number 2 (YTc2Ag)?

0.00 μB/f.u.